No. 1
Material: Pa2ZnGe4Ir3
Method: DFT, PBE
State: optimized geometry

Cell and atoms, written as POSCAR:
```
Pa2ZnGe4Ir3
1.0
4.196 0.000 0.000
0.000 4.196 0.000
0.000 0.000 10.311
Pa Zn Ge Ir
2 1 4 3
direct
0.000 0.500 0.248
0.500 0.000 0.752
0.000 0.000 0.500
0.000 0.000 0.000
0.000 0.500 0.636
0.500 0.000 0.364
0.500 0.500 0.000
0.000 0.500 0.869
0.500 0.000 0.131
0.500 0.500 0.500
```

The value obtained for the energy of formation from the pure elements is -0.555 eV per atom. The calculation puts the calculated total energy at -70.9 eV per cell. As for the spin magnetization: 0.00 μB/f.u. The value obtained for the density of states at the Fermi level is 0.718 states/eV per atom.

=====

No. 2
Material: KSr2I
Method: DFT, PBE
State: optimized geometry

Cell and atoms, written as POSCAR:
```
KSr2I
1.0
-5.393 5.393 3.990
5.393 -5.393 3.990
5.393 5.393 -3.990
K Sr I
2 4 2
direct
0.000 0.000 0.000
0.750 0.250 0.500
0.199 0.625 0.074
0.375 0.449 0.574
0.551 0.125 0.926
0.875 0.801 0.426
0.250 0.750 0.500
0.500 0.500 0.000
```

The calculation puts the calculated total energy at -15.0 eV per cell. The value obtained for the uncorrected formation energy is -371 meV/atom. As for the spin magnetization: 0.00 μB/f.u. The value obtained for the density of states at the Fermi level is 0.755 states/eV per atom.

=====

No. 3
Material: La6CeIn3
Method: DFT, PBE
State: optimized geometry

Cell and atoms, written as POSCAR:
```
La6CeIn3
1.0
6.090 3.516 4.958
-6.090 3.516 4.958
0.000 -7.032 4.958
La Ce In
12 2 6
direct
0.071 0.127 0.386
0.127 0.386 0.071
0.174 0.473 0.583
0.386 0.071 0.127
0.417 0.826 0.527
0.473 0.583 0.174
0.527 0.417 0.826
0.583 0.174 0.473
0.614 0.929 0.873
0.826 0.527 0.417
0.873 0.614 0.929
0.929 0.873 0.614
0.000 0.000 0.000
0.500 0.500 0.500
0.120 0.745 0.271
0.255 0.729 0.880
0.271 0.120 0.745
0.729 0.880 0.255
0.745 0.271 0.120
0.880 0.255 0.729
```

The value obtained for the energy of formation from the pure elements is -0.178 eV per atom. The calculation puts the calculated total energy at -91.0 eV per cell. As for the spin magnetization: 0.47 μB/f.u. The value obtained for the density of states at the Fermi level is 1.544 states/eV per atom.

=====

No. 4
Material: PbIN2F
Method: DFT, PBE
State: optimized geometry

Cell and atoms, written as POSCAR:
```
PbIN2F
1.0
4.478 0.000 0.000
0.000 4.478 0.000
0.000 0.000 4.353
Pb I N F
1 1 2 1
direct
0.000 0.000 0.000
0.500 0.500 0.500
0.000 0.500 0.000
0.500 0.000 0.000
0.000 0.000 0.500
```

The calculation puts the calculated total energy at -18.5 eV per cell. The value obtained for the uncorrected formation energy is 1048 meV/atom. As for the spin magnetization: 0.51 μB/f.u. The value obtained for the density of states at the Fermi level is 0.647 states/eV per atom.